This record from the Alexandria database describes a geometry-optimized CePaGa structure. The functional is PBE.

Calculated values
Crystal system: hexagonal
Energy relative to the elements (meV per atom): -131
Volume (Å³ per cell): 65
Energy relative to the lowest polymorph listed for this composition (meV per atom): 58

Unit cell a=2.9357 b=5.0387 c=5.0387 alpha=120.00 beta=90.00 gamma=90.00
With the nearest neighbours (Å) after each atom.
Atoms (fractional coordinates):
Pa  0.1668  0.0000  0.0000  3 Ce 2.91, 2 Pa 2.94
Ga  0.6668  0.6667  0.3333  2 Ga 2.94, 6 Ce 3.26, 6 Pa 3.26
Ce  0.1663  0.3333  0.6667  3 Pa 2.91, 2 Ce 2.94, 3 Ga 3.26

***

This record from the Alexandria database describes a geometry-optimized Ce3PaGa8 structure. The functional is PBE.

Calculated values
Crystal system: trigonal
Energy relative to the elements (meV per atom): -465
Volume (Å³ per cell): 243

Unit cell a=5.5572 b=5.5572 c=9.6393 alpha=73.25 beta=73.25 gamma=60.00
With the nearest neighbours (Å) after each atom.
Atoms (fractional coordinates):
Ga  0.6876  0.6876  0.9371  6 Ga 2.79-2.80
Ga  0.9365  0.4369  0.1896  6 Ga 2.77-2.80
Ga  0.1876  0.1876  0.4373  6 Ga 2.77
Ga  0.4369  0.9365  0.1896  6 Ga 2.77-2.80
Ga  0.4369  0.4369  0.1896  6 Ga 2.77-2.80
Ga  0.9377  0.4392  0.6855  6 Ga 2.77-2.79
Ga  0.9377  0.9377  0.6855  6 Ga 2.77-2.79
Ga  0.4392  0.9377  0.6855  6 Ga 2.77-2.79
Pa  0.8753  0.8753  0.3740  12 Ga 3.25-3.26, 4 Ce 3.38-3.40
Ce  0.9993  0.9993  0.0022  12 Ga 3.26-3.30, 1 Pa 3.38, 3 Ce 3.41
Ce  0.5008  0.5008  0.4977  12 Ga 3.23-3.26, 3 Pa 3.40, 1 Ce 3.44
Ce  0.3745  0.3745  0.8765  12 Ga 3.26-3.28, 4 Ce 3.41-3.44

***

This record from the Alexandria database describes a geometry-optimized CePaGa structure. The functional is PBE.

Calculated values
Crystal system: tetragonal
Energy relative to the elements (meV per atom): -101
Volume (Å³ per cell): 69
Energy relative to the lowest polymorph listed for this composition (meV per atom): 89

Unit cell a=3.8114 b=3.8114 c=5.4838 alpha=110.34 beta=110.34 gamma=90.00
With the nearest neighbours (Å) after each atom.
Atoms (fractional coordinates):
Ce  0.3279  0.3279  0.6559  5 Pa 3.08-3.28, 5 Ga 3.12-3.16
Ga  0.0008  0.0008  0.0016  5 Ce 3.12-3.16, 5 Pa 3.15
Pa  0.6712  0.6712  0.3425  5 Ce 3.08-3.28, 5 Ga 3.15